Entry 1:
Material: Ta2HgPb
Method: DFT, SCAN
State: single point on PBEsol structure

## Properties
SG: Cmmm
Energy of formation (eV per formula unit): 2.03
Total magnetization (μB per atom): 0.0000
Energy relative to the lowest polymorph listed for this composition (kJ/mol of formula units): 31

Cell: 2.9828 2.9828 9.1337 Å, 90.00 90.00 104.93°
Element x y z (fractional)
Ta  0.0000  0.0000  0.2454
Ta  0.0000  0.0000  0.7546
Hg  0.5000  0.5000  0.0000
Pb  0.5000  0.5000  0.5000

=====

Entry 2:
Material: GdYHg2
Method: DFT, SCAN
State: single point on PBEsol structure

## Properties
SG: Fm-3m
Energy of formation (eV per formula unit): -2.82
Total magnetization (μB per atom): 1.9039

Cell: 5.1924 5.1924 5.1924 Å, 60.00 60.00 60.00°
Element x y z (fractional)
Gd  0.0000  0.0000  0.0000
Y  0.5000  0.5000  0.5000
Hg  0.2500  0.2500  0.2500
Hg  0.7500  0.7500  0.7500